Th2CoAg PBE relaxed; D(E_F) = 0.61 states/eV per atom; space group = C2/m (12); uncorrected energy = -6.37 eV per atom; volume = 102.9 Å³/f.u.; magnetization = 0.0 μB/f.u.; offset from the most stable computed form = 0.000 eV per atom; formation energy from the elements = -0.1668 eV per atom
1.0
3.3960 -1.9552 0.0000
3.3960 1.9552 0.0000
-2.2625 0.0000 7.7502
Th Co Ag
2 1 1
direct
0.2329 0.2329 0.1996
0.7671 0.7671 0.8004
0.5000 0.5000 0.0000
0.0000 0.0000 0.5000